# La4PrY7 | the Alexandria database | GGA-PBE | optimized geometry
data_La4PrY7
_chemical_formula_sum 'La4 Pr1 Y7'
_space_group_name_H-M_alt 'P -1'
_space_group_IT_number 2
_cell_length_a 6.695
_cell_length_b 6.994
_cell_length_c 9.201
_cell_angle_alpha 84.22
_cell_angle_beta 77.17
_cell_angle_gamma 81.35
loop_
_space_group_symop_operation_xyz
'x,y,z'
'-x,-y,-z'
loop_
_atom_site_label
_atom_site_fract_x
_atom_site_fract_y
_atom_site_fract_z
La1 0.143 0.310 0.287
La2 0.329 0.893 0.691
Pr1 0.500 0.500 0.000
Y1 0.010 0.251 0.955
Y2 0.175 0.801 0.357
Y3 0.318 0.398 0.625
Y4 0.500 0.000 0.000
# ΔE_f	83	meV per atom
# DFT total energy	-68.74	eV per formula unit

=====

# BaMnMo | the Alexandria database | GGA-PBE | optimized geometry
data_BaMnMo
_chemical_formula_sum 'Ba4 Mn4 Mo4'
_space_group_name_H-M_alt 'C 1 m 1'
_space_group_IT_number 8
_cell_length_a 7.215
_cell_length_b 4.167
_cell_length_c 11.355
_cell_angle_alpha 90.00
_cell_angle_beta 102.06
_cell_angle_gamma 90.00
loop_
_space_group_symop_operation_xyz
'x,y,z'
'x,-y,z'
'x+1/2,y+1/2,z'
'x+1/2,-y+1/2,z'
loop_
_atom_site_label
_atom_site_fract_x
_atom_site_fract_y
_atom_site_fract_z
Ba1 0.000 0.000 0.000
Ba2 0.039 0.500 0.626
Mn1 0.113 0.000 0.345
Mn2 0.232 0.500 0.199
Mo1 0.301 0.500 0.408
Mo2 0.418 0.000 0.257
# ΔE_f	479	meV per atom
# DFT total energy	-20.49	eV per formula unit

=====

# ZnHg2Mo | the Alexandria database | GGA-PBE | optimized geometry
data_ZnHg2Mo
_chemical_formula_sum 'Zn3 Hg6 Mo3'
_space_group_name_H-M_alt 'R -3 m'
_space_group_IT_number 166
_space_group_name_Hall '-R 3 2"'
_cell_length_a 3.0230
_cell_length_b 3.0230
_cell_length_c 28.2622
_cell_angle_alpha 90.00
_cell_angle_beta 90.00
_cell_angle_gamma 120.00
loop_
_atom_site_label
_atom_site_fract_x
_atom_site_fract_y
_atom_site_fract_z
Zn1 0.0000 0.0000 0.0000
Hg1 0.0000 0.0000 0.2508
Mo1 0.0000 0.0000 0.5000
# ΔE_f	494	meV per atom
# DFT total energy	-10.73	eV per formula unit

=====

# LaFeSe2 | the Alexandria database | GGA-PBE | optimized geometry
data_LaFeSe2
_chemical_formula_sum 'La2 Fe2 Se4'
_space_group_name_H-M_alt 'I -4 m 2'
_space_group_IT_number 119
_space_group_name_Hall 'I -4 -2'
_cell_length_a 4.092
_cell_length_b 4.092
_cell_length_c 10.234
_cell_angle_alpha 90.00
_cell_angle_beta 90.00
_cell_angle_gamma 90.00
loop_
_atom_site_label
_atom_site_fract_x
_atom_site_fract_y
_atom_site_fract_z
La1 0.000 0.000 0.000
Fe1 0.000 0.500 0.750
Se1 0.000 0.000 0.350
# DFT total energy	-24.32	eV per formula unit
# formation energy without anion corrections	-22.86	kcal/mol of atoms

=====

# CaTbTh2Se4 | the Alexandria database | GGA-PBE | optimized geometry
data_CaTbTh2Se4
_chemical_formula_sum 'Ca1 Tb1 Th2 Se4'
_space_group_name_H-M_alt 'P 1 2/m 1'
_space_group_IT_number 10
_cell_length_a 6.993
_cell_length_b 4.028
_cell_length_c 7.624
_cell_angle_alpha 90.00
_cell_angle_beta 107.73
_cell_angle_gamma 90.00
loop_
_space_group_symop_operation_xyz
'x,y,z'
'-x,-y,-z'
'-x,y,-z'
'x,-y,z'
loop_
_atom_site_label
_atom_site_fract_x
_atom_site_fract_y
_atom_site_fract_z
Ca1 0.000 0.000 0.000
Tb1 0.500 0.500 0.000
Th1 0.000 0.500 0.500
Th2 0.500 0.000 0.500
Se1 0.246 0.500 0.235
Se2 0.255 0.000 0.765
# DFT total energy	-48.82	eV per formula unit
# formation energy without anion corrections	-38.64	kcal/mol of atoms

=====

# YbCo6Ge6 | the Alexandria database | GGA-PBE | optimized geometry
data_YbCo6Ge6
_chemical_formula_sum 'Yb1 Co6 Ge6'
_space_group_name_H-M_alt 'P 6/m m m'
_space_group_IT_number 191
_space_group_name_Hall '-P 6 2'
_cell_length_a 5.0829
_cell_length_b 5.0829
_cell_length_c 7.8412
_cell_angle_alpha 90.00
_cell_angle_beta 90.00
_cell_angle_gamma 120.00
loop_
_atom_site_label
_atom_site_fract_x
_atom_site_fract_y
_atom_site_fract_z
Yb1 0.0000 0.0000 0.0000
Co1 0.0000 0.5000 0.2518
Ge1 0.0000 0.0000 0.3437
Ge2 0.3333 0.6667 0.0000
Ge3 0.3333 0.6667 0.5000
# ΔE_f	-322	meV per atom
# DFT total energy	-76.05	eV per formula unit

=====

# LaEu2N | the Alexandria database | GGA-PBE | optimized geometry
data_LaEu2N
_chemical_formula_sum 'La3 Eu6 N3'
_space_group_name_H-M_alt 'R -3 m'
_space_group_IT_number 166
_space_group_name_Hall '-R 3 2"'
_cell_length_a 3.6395
_cell_length_b 3.6395
_cell_length_c 29.5111
_cell_angle_alpha 90.00
_cell_angle_beta 90.00
_cell_angle_gamma 120.00
loop_
_atom_site_label
_atom_site_fract_x
_atom_site_fract_y
_atom_site_fract_z
La1 0.0000 0.0000 0.0000
Eu1 0.0000 0.0000 0.2138
N1 0.0000 0.0000 0.5000
# DFT total energy	-35.76	eV per formula unit
# formation energy without anion corrections	-11.31	kcal/mol of atoms

=====

# AlFeAs2 | the Alexandria database | GGA-PBE | optimized geometry
data_AlFeAs2
_chemical_formula_sum 'Al1 Fe1 As2'
_space_group_name_H-M_alt 'P 4/m m m'
_space_group_IT_number 123
_space_group_name_Hall '-P 4 2'
_cell_length_a 2.966
_cell_length_b 2.966
_cell_length_c 7.125
_cell_angle_alpha 90.00
_cell_angle_beta 90.00
_cell_angle_gamma 90.00
loop_
_atom_site_label
_atom_site_fract_x
_atom_site_fract_y
_atom_site_fract_z
Al1 0.000 0.000 0.000
Fe1 0.000 0.000 0.500
As1 0.500 0.500 0.298
# ΔE_f	77	meV per atom
# DFT total energy	-21.20	eV per formula unit